# PBE Tb2YHo, optimized geometry
data_Tb2YHo
_chemical_formula_sum 'Tb6 Y3 Ho3'
_cell_length_a 3.5831
_cell_length_b 3.5831
_cell_length_c 34.3974
_cell_angle_alpha 90.00
_cell_angle_beta 90.00
_cell_angle_gamma 120.00
_symmetry_space_group_name_H-M 'R 3 m'
_symmetry_Int_Tables_number 160
_symmetry_space_group_name_Hall 'R 3 -2"'
loop_
_atom_site_label
_atom_site_fract_x
_atom_site_fract_y
_atom_site_fract_z
_atom_site_occupancy
Tb1 0.0000 0.0000 0.0000 1
Tb2 0.0000 0.0000 0.1671 1
Y1 0.0000 0.0000 0.4173 1
Ho1 0.0000 0.0000 0.5835 1
# E above lowest polymorph: 2 meV/atom
# Total energy: -5.07 eV/atom
# Energy of formation from the pure elements: 9 meV per atom
# Density of states at the Fermi level: 18.31 states/eV per cell